Below is a geometry-optimized La2AlZn4Pd3 structure, with properties calculated at the PBE level.

## Properties
- ΔE_f: -0.595 eV/atom
- Magnetic moment: 0.000 μB per formula unit
- Symmetry: P-4m2
- Mass density: 7.5 g/cm³

Unit cell a=4.0682 b=4.0682 c=11.9193 alpha=90.00 beta=90.00 gamma=90.00
Positions (direct):
La: 0.0000 0.5000 0.2448
La: 0.5000 0.0000 0.7552
Al: 0.0000 0.0000 0.5000
Zn: 0.0000 0.0000 0.0000
Zn: 0.0000 0.5000 0.6375
Zn: 0.5000 0.0000 0.3625
Zn: 0.5000 0.5000 0.0000
Pd: 0.0000 0.5000 0.8572
Pd: 0.5000 0.0000 0.1428
Pd: 0.5000 0.5000 0.5000